Computed, not measured: crystalline MgZrSi at its relaxed geometry at the GGA-PBE level of DFT.

Properties
- Calculated volume: 19.3 A^3/atom
- ΔE_f (raw): -0.14 eV/atom
- Symmetry: I4mm, No. 107
- Density: 4.128 g cm⁻³

Lattice parameters (Å, degrees): 6.4264 6.4264 6.4264 152.16 152.16 39.78
Atoms (fractional coordinates):
Mg  0.0000  0.0000  0.0000
Zr  0.3012  0.3012  0.0000
Si  0.6499  0.6499  0.0000